Li2AuO2, relaxed, DFT PBE; crystal system = monoclinic; DFT total energy = -4.42 eV/atom
1.0
-0.842 2.787 -0.649
1.086 -0.493 3.329
5.505 1.583 -0.350
Au Li O
1 2 2
Direct
0.500 0.000 0.000
0.170 0.340 0.359
0.830 0.660 0.641
0.887 0.774 0.286
0.113 0.226 0.714



AcSmTc, relaxed, DFT PBE; crystal system = cubic; DFT total energy = -5.42 eV/atom
1.0
0.000 3.522 3.522
3.522 0.000 3.522
3.522 3.522 0.000
Ac Sm Tc
1 1 1
Direct
0.250 0.250 0.250
0.000 0.000 0.000
0.750 0.750 0.750



LaBeCoSi, relaxed, DFT PBE; polymorph energy (0 for the lowest one) = 227.9 meV/atom; crystal system = cubic; DFT total energy = -5.04 eV/atom
1.0
2.406 2.949 2.552
-2.086 2.416 3.288
0.833 -0.934 4.408
Be Co La Si
1 1 1 1
Direct
0.750 0.750 0.750
0.500 0.500 0.500
0.250 0.250 0.250
0.000 0.000 0.000



Cs2HoNbO4, relaxed, DFT PBE; crystal system = trigonal; DFT total energy = -6.61 eV/atom
1.0
-3.347 0.536 0.491
1.878 -1.470 2.459
2.677 12.021 5.143
Cs Ho Nb O
2 1 1 4
Direct
0.667 0.333 0.243
0.333 0.667 0.757
0.000 0.000 0.500
0.000 0.000 0.000
0.333 0.667 0.075
0.333 0.667 0.414
0.667 0.333 0.586
0.667 0.333 0.925



TbYHf, relaxed, DFT PBE; polymorph energy (0 for the lowest one) = 0.0 meV/atom; crystal system = cubic; DFT total energy = -6.15 eV/atom
1.0
-2.463 -4.571 -0.051
-4.642 -0.473 2.277
-4.263 -0.620 -2.899
Hf Tb Y
1 1 1
Direct
0.000 0.000 0.000
0.250 0.250 0.250
0.750 0.750 0.750



DySnAuSe2S, relaxed, DFT PBE; crystal system = orthorhombic; DFT total energy = -4.70 eV/atom
1.0
1.819 0.891 -6.811
-3.883 -3.664 4.689
-7.722 6.660 -1.191
Au Dy S Se Sn
2 2 2 4 2
Direct
0.469 0.531 0.250
0.531 0.469 0.750
0.000 0.000 0.000
0.000 0.000 0.500
0.088 0.912 0.250
0.912 0.088 0.750
0.350 0.650 0.052
0.350 0.650 0.448
0.650 0.350 0.552
0.650 0.350 0.948
0.746 0.254 0.250
0.254 0.746 0.750



AgAsPb, relaxed, DFT PBE; polymorph energy (0 for the lowest one) = 99.5 meV/atom; crystal system = cubic; DFT total energy = -3.61 eV/atom
1.0
-4.201 -1.904 1.381
-3.803 0.167 -2.947
-1.615 -4.032 -2.078
Ag As Pb
1 1 1
Direct
0.250 0.250 0.250
0.000 0.000 0.000
0.750 0.750 0.750



SmAlPbSe3, relaxed, DFT PBE; crystal system = orthorhombic; DFT total energy = -4.67 eV/atom
1.0
-1.713 -0.545 -7.476
-1.582 -1.790 7.309
-6.538 9.165 0.830
Al Pb Se Sm
2 2 6 2
Direct
0.365 0.635 0.250
0.635 0.365 0.750
0.701 0.299 0.250
0.299 0.701 0.750
0.359 0.641 0.010
0.973 0.027 0.250
0.359 0.641 0.490
0.641 0.359 0.510
0.027 0.973 0.750
0.641 0.359 0.990
0.000 0.000 0.000
0.000 0.000 0.500